No. 1
{"formula": "UIrRh3", "functional": "PBE", "state": "optimized geometry", "energy_ha_per_atom": -0.3146, "polymorph_energy_mev_per_atom": 180.3, "magnetic_moment_mub_per_cell": 0.0, "delta_e_f_ev_per_atom": -0.120, "lattice": [[-2.1706, 7.1357, -1.7160], [-4.4044, 1.2917, -6.1243], [-4.9788, 2.4238, -0.6903]], "species": ["U", "U", "Ir", "Ir", "Rh", "Rh", "Rh", "Rh", "Rh", "Rh"], "frac_coords": [[0.7500, 0.7500, 0.7500], [0.2500, 0.2500, 0.2500], [0.0000, 0.0000, 0.0000], [0.5000, 0.5000, 0.5000], [0.2500, 0.5907, 0.2500], [0.4093, 0.0907, 0.7500], [0.0907, 0.7500, 0.7500], [0.9093, 0.2500, 0.2500], [0.5907, 0.9093, 0.2500], [0.7500, 0.4093, 0.7500]]}

---

No. 2
{"formula": "Li2Al2Au5", "functional": "PBE", "state": "optimized geometry", "energy_ha_per_atom": -0.1249, "magnetic_moment_mub_per_cell": 0.0, "delta_e_f_ev_per_atom": -0.322, "lattice": [[-3.9010, 4.1532, 2.2308], [-5.3888, -2.5874, -4.6065], [0.7708, -3.0245, 6.9789]], "species": ["Li", "Li", "Li", "Li", "Al", "Al", "Al", "Al", "Au", "Au", "Au", "Au", "Au", "Au", "Au", "Au", "Au", "Au"], "frac_coords": [[0.0000, 0.1980, 0.3959], [0.5000, 0.6980, 0.3959], [0.0000, 0.8020, 0.6041], [0.5000, 0.3020, 0.6041], [0.6301, 0.8412, 0.0000], [0.3699, 0.1588, 0.0000], [0.1301, 0.6588, 0.0000], [0.8699, 0.3412, 0.0000], [0.0000, 0.0000, 0.0000], [0.5000, 0.5000, 0.0000], [0.8581, 0.8298, 0.2987], [0.1419, 0.4689, 0.2987], [0.3581, 0.9689, 0.2987], [0.6419, 0.3298, 0.2987], [0.1419, 0.1702, 0.7013], [0.8581, 0.5311, 0.7013], [0.6419, 0.0311, 0.7013], [0.3581, 0.6702, 0.7013]]}

---

No. 3
{"formula": "Sn2BiPtO", "functional": "PBE", "state": "optimized geometry", "energy_ha_per_atom": -0.1733, "magnetic_moment_mub_per_cell": 0.0, "formation_energy_uncorrected_ev_per_atom": -0.1382, "lattice": [[-3.9834, 1.7418, 1.8684], [0.1729, -3.3199, 3.4638], [2.5487, 2.9412, 2.6918]], "species": ["O", "Bi", "Pt", "Sn", "Sn"], "frac_coords": [[0.0000, 0.0000, 0.0000], [0.0000, 0.5000, 0.0000], [0.5000, 0.5000, 0.5000], [0.0000, 0.0000, 0.5000], [0.5000, 0.0000, 0.0000]]}